Entry from Alexandria: a relaxed structure of SmZn2Ag2 (PBE).

Cell and atoms, written as extended XYZ:
```
10
Lattice="5.3009 0.0000 0.0000 2.6373 4.7684 0.0000 2.6370 0.0105 8.4375" Properties=species:S:1:pos:R:3 pbc="T T T"
Sm 1.9881 1.1965 2.0944
Sm 8.5871 3.5824 6.3430
Zn 5.9304 3.5844 8.3960
Zn 5.9482 3.5784 4.2631
Zn 4.6270 1.2005 4.1744
Zn 4.6448 1.1945 0.0415
Ag 3.2966 0.4809 6.3243
Ag 4.6388 2.8649 2.1016
Ag 5.9364 1.9141 6.3359
Ag 7.2786 4.2980 2.1131
```

Results
E_form = -163 meV per atom
Total magnetization = 0.000 μB/cell
Symmetry = No. 2
D(E_F) = 0.408 states/eV per atom

***

Entry from Alexandria: a relaxed structure of SmZnAg (PBE).

Cell and atoms, written as extended XYZ:
```
6
Lattice="5.1626 0.0000 0.0000 0.0000 5.2059 0.0000 -2.5736 0.0000 4.9305" Properties=species:S:1:pos:R:3 pbc="T T T"
Sm 1.2853 1.3015 0.0011
Sm 1.3037 3.9044 4.9294
Zn 1.3075 3.9044 1.8101
Zn 1.2816 1.3015 3.1203
Ag -1.2700 3.9044 3.1169
Ag 3.8591 1.3015 1.8136
```

Results
E_form = -207 meV per atom
Total magnetization = 0.181 μB/cell
Symmetry = No. 11
D(E_F) = 0.444 states/eV per atom

***

Among the records above, which one has the highest E_form? SmZn2Ag2

***

What did the first record say?
Entry from Alexandria: a relaxed structure of SmZn2Ag2 (PBE).

Cell and atoms, written as extended XYZ:
```
10
Lattice="5.3009 0.0000 0.0000 2.6373 4.7684 0.0000 2.6370 0.0105 8.4375" Properties=species:S:1:pos:R:3 pbc="T T T"
Sm 1.9881 1.1965 2.0944
Sm 8.5871 3.5824 6.3430
Zn 5.9304 3.5844 8.3960
Zn 5.9482 3.5784 4.2631
Zn 4.6270 1.2005 4.1744
Zn 4.6448 1.1945 0.0415
Ag 3.2966 0.4809 6.3243
Ag 4.6388 2.8649 2.1016
Ag 5.9364 1.9141 6.3359
Ag 7.2786 4.2980 2.1131
```

Results
E_form = -163 meV per atom
Total magnetization = 0.000 μB/cell
Symmetry = No. 2
D(E_F) = 0.408 states/eV per atom